Record 1
Density functional theory data (PBE) for an optimized crystal structure of KTl2Zn.

```
KTl2Zn
1.0
6.4201 -0.4389 0.0000
-2.6233 5.8761 0.0000
0.0000 0.0000 3.3321
K Tl Zn
1 2 1
Direct
0.0000 0.5000 0.5000
0.0000 0.0000 0.0000
0.5000 0.5000 0.0000
0.5000 0.0000 0.5000
```

Summary:
Energy relative to the elements, eV per atom: 0.167
DOS at the Fermi energy, states/eV/atom: 0.657
Space group: Cmmm
Total magnetization, μB per formula unit: 0.000



Record 2
Density functional theory data (PBE) for an optimized crystal structure of K2TlZn.

```
K2TlZn
1.0
-4.6295 -4.5055 -1.3771
-0.2881 -6.3978 -1.6168
-1.4760 -3.9443 4.4025
K Tl Zn
2 1 1
Direct
0.9711 0.9711 0.0290
0.7770 0.7770 0.7231
0.5635 0.5635 0.4367
0.1884 0.1884 0.3111
```

Summary:
Energy relative to the elements, eV per atom: 0.018
DOS at the Fermi energy, states/eV/atom: 0.864
Space group: Imm2
Total magnetization, μB per formula unit: 0.000



Record 3
Density functional theory data (PBE) for an optimized crystal structure of KTl3Zn.

```
KTl3Zn
1.0
6.3526 0.0000 0.0000
0.0000 6.3526 0.0000
0.0000 0.0000 6.3526
K Tl Zn
1 3 1
Direct
0.0000 0.0000 0.0000
0.0000 0.5000 0.0000
0.0000 0.0000 0.5000
0.5000 0.0000 0.0000
0.5000 0.5000 0.5000
```

Summary:
Energy relative to the elements, eV per atom: 0.766
DOS at the Fermi energy, states/eV/atom: 1.518
Space group: Pm-3m
Total magnetization, μB per formula unit: 0.000



Record 4
Density functional theory data (PBE) for an optimized crystal structure of KTl2Zn.

```
KTl2Zn
1.0
6.1453 -0.0019 -0.0228
1.9576 5.8252 0.0228
-3.5572 -3.5994 3.4866
K Tl Zn
1 2 1
Direct
0.2650 0.7650 0.5000
0.9801 0.9801 0.0000
0.7219 0.2219 0.5000
0.5331 0.5331 0.0000
```

Summary:
Energy relative to the elements, eV per atom: 0.067
DOS at the Fermi energy, states/eV/atom: 0.444
Space group: Imm2
Total magnetization, μB per formula unit: 0.000



Record 5
Density functional theory data (PBE) for an optimized crystal structure of KZr4Tl.

```
KZr4Tl
1.0
5.8755 0.2458 1.4293
1.7727 2.8521 5.0346
2.1071 -3.1811 4.6974
K Zr Tl
1 4 1
Direct
0.7500 0.7500 0.7500
0.8785 0.3738 0.3738
0.3738 0.3738 0.8785
0.3738 0.8785 0.3738
0.3738 0.3738 0.3738
0.0000 0.0000 0.0000
```

Summary:
Energy relative to the elements, eV per atom: 0.598
DOS at the Fermi energy, states/eV/atom: 1.065
Space group: F-43m
Total magnetization, μB per formula unit: 0.000



Record 6
Density functional theory data (PBE) for an optimized crystal structure of KZrTl4.

```
KZrTl4
1.0
3.9134 -0.2097 4.9195
-2.0356 1.6726 5.7113
-0.7870 -4.3638 4.4608
K Zr Tl
1 1 4
Direct
0.0000 0.0000 0.0000
0.7500 0.7500 0.7500
0.8730 0.3757 0.3757
0.3757 0.3757 0.8730
0.3757 0.8730 0.3757
0.3757 0.3757 0.3757
```

Summary:
Energy relative to the elements, eV per atom: 0.352
DOS at the Fermi energy, states/eV/atom: 1.197
Space group: F-43m
Total magnetization, μB per formula unit: 1.207



no.,volume (A^3/atom)
1,30.47
2,38.72
3,51.27
4,31.25
5,26.12
6,29.32